{"formula": "Tm4ZnSe3", "functional": "GGA-PBE", "state": "relaxed", "cell": [[-0.679, 3.591, -1.441], [-4.808, -2.695, -4.449], [-3.301, 1.787, 6.007]], "species": ["Se", "Se", "Se", "Zn", "Tm", "Tm", "Tm", "Tm"], "frac_coords": [[0.000, 0.000, 0.500], [0.500, 0.500, 0.500], [0.000, 0.500, 0.000], [0.500, 0.000, 0.000], [0.500, 0.243, 0.757], [0.500, 0.757, 0.243], [0.000, 0.758, 0.758], [0.000, 0.242, 0.242]], "magmom_total_mub_per_cell": 0.0, "energy_ev_per_cell": -40.3, "space_group": "Cmmm", "e_form_raw_mev_per_atom": -1340}

=====

{"formula": "La2Dy12Y5", "functional": "GGA-PBE", "state": "relaxed", "cell": [[-1.701, -5.341, 7.313], [0.344, -6.615, -10.556], [6.056, 4.128, 4.424]], "species": ["Dy", "Dy", "Dy", "La", "Dy", "Y", "Y", "Dy", "Dy", "Y", "Dy", "Dy", "Dy", "Dy", "Dy", "La", "Dy", "Y", "Y"], "frac_coords": [[0.566, 0.749, 0.399], [0.095, 0.190, 0.306], [0.976, 0.315, 0.068], [0.311, 0.000, 0.000], [0.662, 0.685, 0.932], [0.767, 0.533, 0.110], [0.698, 0.396, 0.388], [0.817, 0.251, 0.601], [0.442, 0.885, 0.213], [0.233, 0.467, 0.890], [0.558, 0.115, 0.787], [0.024, 0.685, 0.932], [0.183, 0.749, 0.399], [0.338, 0.315, 0.068], [0.434, 0.251, 0.601], [0.689, 0.000, 0.000], [0.905, 0.810, 0.694], [0.302, 0.604, 0.612], [0.000, 0.000, 0.500]], "magmom_total_mub_per_cell": 0.0, "energy_ev_per_cell": -94.8, "formation_energy_ev_per_atom": 0.13, "space_group": "C2/m"}

=====

{"formula": "UGeRh", "functional": "GGA-PBE", "state": "relaxed", "cell": [[3.335, 0.000, 0.000], [0.000, 4.400, 0.000], [0.000, -2.200, 3.811]], "species": ["Rh", "Ge", "U"], "frac_coords": [[0.167, 0.000, 0.000], [0.166, 0.333, 0.667], [0.667, 0.667, 0.333]], "magmom_total_mub_per_cell": 1.3, "energy_ev_per_cell": -24.9, "formation_energy_ev_per_atom": -0.55, "space_group": "P-6m2"}

=====

> Number 1 is which compound?

Tm4ZnSe3